NiAgF3, relaxed, DFT GGA+U; density = 5.86 Mg/m³; total DFT energy (no corrections) = -38.939 eV for the cell shown; crystal system = orthorhombic; SG = No. 63
1.0
-4.0832 -1.7157 3.5103
3.6101 -1.2176 -4.1741
5.2746 -2.0162 5.1500
F Ag Ni
6 2 2
Cartesian
1.6975 -2.6259 3.4124
4.4927 -1.7499 -2.4511
3.8620 -3.4533 5.5258
0.3087 -3.1996 6.9373
0.9394 -1.4962 -1.0396
3.1039 -2.3236 1.0737
-0.7957 -2.0923 2.8312
5.5971 -2.8572 1.6550
0.0000 0.0000 0.0000
2.6373 -1.0081 2.5750